# 1
Nb5GaS8: relaxed, PBE.

a b c (Å): 7.338 7.338 7.338
angles (deg): 60.00 60.00 60.00
Positions (direct):
Nb: 0.000 0.000 0.000
Nb: 0.394 0.394 0.394
Nb: 0.394 0.394 0.819
Nb: 0.394 0.819 0.394
Nb: 0.819 0.394 0.394
Ga: 0.750 0.750 0.750
S: 0.127 0.624 0.624
S: 0.134 0.134 0.134
S: 0.134 0.134 0.599
S: 0.134 0.599 0.134
S: 0.599 0.134 0.134
S: 0.624 0.127 0.624
S: 0.624 0.624 0.127
S: 0.624 0.624 0.624

Results
symmetry: F-43m, No. 216
energy: -97.37 eV/cell
size of the total moment: 1.095 μB/cell
raw formation energy: -783.9 meV per atom

=====

# 2
Sc2Ni6HRh: relaxed, PBE.

a b c (Å): 4.865 4.865 6.643
angles (deg): 111.52 111.52 62.92
Positions (direct):
Sc: 0.230 0.230 0.146
Sc: 0.770 0.770 0.854
Ni: 0.185 0.665 0.636
Ni: 0.199 0.199 0.709
Ni: 0.335 0.815 0.364
Ni: 0.665 0.185 0.636
Ni: 0.801 0.801 0.291
Ni: 0.815 0.335 0.364
H: 0.000 0.000 0.500
Rh: 0.500 0.500 0.000

Results
symmetry: C2/m, No. 12
energy: -61.22 eV/cell
size of the total moment: 0.000 μB/cell

=====

# 3
Mn3CdB: relaxed, PBE.

a b c (Å): 4.939 4.939 4.939
angles (deg): 90.00 90.00 90.00
Positions (direct):
Mn: 0.000 0.000 0.500
Mn: 0.000 0.500 0.000
Mn: 0.500 0.000 0.000
Cd: 0.000 0.000 0.000
B: 0.500 0.500 0.500

Results
E_form: 2.09 eV/atom
symmetry: Pm-3m, No. 221
energy: -24.65 eV/cell
size of the total moment: 12.016 μB/cell

=====

# 4
LaSi4Ir2: relaxed, PBE.

a b c (Å): 16.957 4.237 6.489
angles (deg): 90.00 90.00 90.00
Positions (direct):
La: 0.141 0.250 0.010
La: 0.359 0.750 0.510
La: 0.641 0.250 0.490
La: 0.859 0.750 0.990
Si: 0.031 0.750 0.143
Si: 0.065 0.250 0.535
Si: 0.181 0.750 0.691
Si: 0.194 0.750 0.292
Si: 0.306 0.250 0.792
Si: 0.319 0.250 0.191
Si: 0.435 0.750 0.035
Si: 0.469 0.250 0.643
Si: 0.531 0.750 0.357
Si: 0.565 0.250 0.965
Si: 0.681 0.750 0.809
Si: 0.694 0.750 0.208
Si: 0.806 0.250 0.708
Si: 0.819 0.250 0.309
Si: 0.935 0.750 0.465
Si: 0.969 0.250 0.857
Ir: 0.033 0.750 0.744
Ir: 0.211 0.250 0.493
Ir: 0.289 0.750 0.993
Ir: 0.467 0.250 0.244
Ir: 0.533 0.750 0.756
Ir: 0.711 0.250 0.007
Ir: 0.789 0.750 0.507
Ir: 0.967 0.250 0.256

Results
symmetry: Pnma, No. 62
energy: -198.52 eV/cell
size of the total moment: 0.000 μB/cell
raw formation energy: -755.4 meV per atom

=====

# 5
Mg4Hg2H: relaxed, PBE.

a b c (Å): 4.196 4.196 15.301
angles (deg): 90.00 90.00 90.00
Positions (direct):
Mg: 0.000 0.000 0.177
Mg: 0.000 0.000 0.823
Mg: 0.000 0.500 0.000
Mg: 0.000 0.500 0.500
Mg: 0.500 0.000 0.000
Mg: 0.500 0.000 0.500
Mg: 0.500 0.500 0.323
Mg: 0.500 0.500 0.677
Hg: 0.000 0.000 0.362
Hg: 0.000 0.000 0.638
Hg: 0.500 0.500 0.138
Hg: 0.500 0.500 0.862
H: 0.000 0.000 0.000
H: 0.500 0.500 0.500

Results
symmetry: I4/mmm, No. 139
energy: -22.50 eV/cell
size of the total moment: 0.000 μB/cell

=====

# 6
Pr2Nd3Th: relaxed, PBE.

a b c (Å): 6.362 8.215 9.014
angles (deg): 111.56 90.12 104.77
Positions (direct):
Pr: 0.202 0.365 0.459
Pr: 0.284 0.121 0.040
Pr: 0.716 0.879 0.960
Pr: 0.798 0.635 0.541
Nd: 0.120 0.621 0.878
Nd: 0.373 0.880 0.623
Nd: 0.460 0.631 0.210
Nd: 0.540 0.369 0.790
Nd: 0.627 0.120 0.377
Nd: 0.880 0.379 0.122
Th: 0.041 0.878 0.297
Th: 0.959 0.122 0.703

Results
E_form: 0.04 eV/atom
symmetry: P-1, No. 2
energy: -62.07 eV/cell
size of the total moment: 0.000 μB/cell

=====

# 7
MnRh4: relaxed, PBE.

a b c (Å): 3.591 3.591 12.446
angles (deg): 90.00 90.00 90.00
Positions (direct):
Mn: 0.000 0.000 0.000
Mn: 0.500 0.500 0.500
Rh: 0.000 0.000 0.402
Rh: 0.000 0.000 0.598
Rh: 0.000 0.500 0.250
Rh: 0.000 0.500 0.750
Rh: 0.500 0.000 0.250
Rh: 0.500 0.000 0.750
Rh: 0.500 0.500 0.098
Rh: 0.500 0.500 0.902

Results
E_form: 0.35 eV/atom
symmetry: I4/mmm, No. 139
energy: -73.66 eV/cell
size of the total moment: 7.873 μB/cell

=====

# 8
RbMgZnBr5: relaxed, PBE.

a b c (Å): 7.774 7.774 9.840
angles (deg): 103.73 103.73 105.43
Positions (direct):
Rb: 0.155 0.845 0.750
Rb: 0.845 0.155 0.250
Mg: 0.500 0.500 0.000
Mg: 0.500 0.500 0.500
Zn: 0.190 0.810 0.250
Zn: 0.810 0.190 0.750
Br: 0.119 0.267 0.934
Br: 0.190 0.593 0.394
Br: 0.267 0.119 0.434
Br: 0.407 0.810 0.106
Br: 0.431 0.569 0.750
Br: 0.569 0.431 0.250
Br: 0.593 0.190 0.894
Br: 0.733 0.881 0.566
Br: 0.810 0.407 0.606
Br: 0.881 0.733 0.066

Results
symmetry: C2/c, No. 15
energy: -45.37 eV/cell
size of the total moment: 0.000 μB/cell
raw formation energy: -1310.5 meV per atom